No. 1
# TcBPPt2

A relaxed TcBPPt2 crystal (PBE, the Alexandria database).

Output
As for the magnetic moment: 0.00 Bohr magnetons per cell. The calculation puts the calculated formation energy at 1.144 eV/atom. The value obtained for the density of states at the Fermi level is 0.632 states/eV/atom.

Unit cell a=4.424 b=4.424 c=4.441 alpha=90.00 beta=90.00 gamma=90.00
Sites, in units of the cell vectors:
Tc: 0.000 0.000 0.000
B: 0.500 0.500 0.000
P: 0.000 0.000 0.500
Pt: 0.000 0.500 0.500
Pt: 0.500 0.000 0.500

=====

No. 2
# DySi2Ir3

A relaxed DySi2Ir3 crystal (PBE, the Alexandria database).

Output
As for the magnetic moment: 0.00 Bohr magnetons per cell. The value obtained for the density of states at the Fermi level is 0.438 states/eV/atom. The raw formation energy comes out at -0.917 eV/atom.

Unit cell a=8.210 b=8.210 c=9.755 alpha=107.76 beta=107.76 gamma=28.06
Sites, in units of the cell vectors:
Dy: 0.000 0.000 0.000
Dy: 0.158 0.158 0.699
Dy: 0.842 0.842 0.301
Si: 0.197 0.197 0.130
Si: 0.363 0.363 0.552
Si: 0.464 0.464 0.221
Si: 0.536 0.536 0.779
Si: 0.637 0.637 0.448
Si: 0.803 0.803 0.870
Ir: 0.040 0.040 0.329
Ir: 0.220 0.220 0.392
Ir: 0.323 0.323 0.043
Ir: 0.378 0.378 0.802
Ir: 0.500 0.500 0.500
Ir: 0.622 0.622 0.198
Ir: 0.677 0.677 0.957
Ir: 0.780 0.780 0.608
Ir: 0.960 0.960 0.671

=====

No. 3
# ZrGaOs

A relaxed ZrGaOs crystal (PBE, the Alexandria database).

Output
As for the magnetic moment: 0.00 Bohr magnetons per cell. The calculation puts the calculated formation energy at -0.388 eV/atom. The value obtained for the density of states at the Fermi level is 0.566 states/eV/atom.

Unit cell a=10.503 b=3.246 c=7.314 alpha=90.00 beta=124.26 gamma=90.00
Sites, in units of the cell vectors:
Zr: 0.075 0.000 0.295
Zr: 0.425 0.500 0.705
Zr: 0.575 0.500 0.295
Zr: 0.925 0.000 0.705
Ga: 0.141 0.500 0.669
Ga: 0.359 0.000 0.331
Ga: 0.641 0.000 0.669
Ga: 0.859 0.500 0.331
Os: 0.154 0.500 0.044
Os: 0.346 0.000 0.956
Os: 0.654 0.000 0.044
Os: 0.846 0.500 0.956

=====

No. 4
# KCu2P

A relaxed KCu2P crystal (PBE, the Alexandria database).

Output
As for the magnetic moment: 0.00 Bohr magnetons per cell. The calculation puts the calculated formation energy at -0.155 eV/atom. The value obtained for the density of states at the Fermi level is 0.107 states/eV/atom.

Unit cell a=7.155 b=4.128 c=6.244 alpha=90.00 beta=112.30 gamma=90.00
Sites, in units of the cell vectors:
K: 0.000 0.000 0.000
K: 0.500 0.500 0.000
Cu: 0.181 0.000 0.543
Cu: 0.319 0.500 0.457
Cu: 0.681 0.500 0.543
Cu: 0.819 0.000 0.457
P: 0.000 0.500 0.500
P: 0.500 0.000 0.500

=====

No. 5
# Ti2NbCu

A relaxed Ti2NbCu crystal (PBE, the Alexandria database).

Output
As for the magnetic moment: 0.00 Bohr magnetons per cell. The calculation puts the polymorph energy (0 for the lowest one) at 0.000 eV/atom. The calculation puts the calculated formation energy at -0.040 eV/atom. The value obtained for the density of states at the Fermi level is 1.003 states/eV/atom.

Unit cell a=3.230 b=3.230 c=6.166 alpha=90.00 beta=90.00 gamma=90.00
Sites, in units of the cell vectors:
Ti: 0.000 0.000 0.247
Ti: 0.000 0.000 0.753
Nb: 0.500 0.500 0.500
Cu: 0.500 0.500 0.000

=====

No. 6
# Mg2ZrGaNi

A relaxed Mg2ZrGaNi crystal (PBE, the Alexandria database).

Output
As for the magnetic moment: 0.69 Bohr magnetons per cell. The calculation puts the calculated formation energy at 1.432 eV/atom. The value obtained for the density of states at the Fermi level is 1.774 states/eV/atom.

Unit cell a=5.532 b=5.532 c=5.067 alpha=90.00 beta=90.00 gamma=90.00
Sites, in units of the cell vectors:
Mg: 0.000 0.500 0.000
Mg: 0.500 0.000 0.000
Zr: 0.000 0.000 0.000
Ga: 0.000 0.000 0.500
Ni: 0.500 0.500 0.500